VASP calculation (PBE) on a relaxed Cl crystal.

## Properties
Total DFT energy (no corrections): -0.135 Ry/atom
Crystal system: triclinic
Density: 1.605 g cm⁻³
Energy relative to the lowest polymorph listed for this composition: 0.01 eV/f.u.

Cell lengths 4.442, 4.495, 7.649 Å; angles 80.53, 83.04, 77.95 degrees
Sites, in units of the cell vectors:
1 Cl 0.000 0.000 0.000
2 Cl 0.177 0.497 0.499
3 Cl 0.407 0.696 0.282
4 Cl 0.770 0.229 0.791

=====

VASP calculation (PBE) on a relaxed La3NdBi4 crystal.

## Properties
Total DFT energy (no corrections): -0.398 Ry/atom
Crystal system: orthorhombic
Density: 7.989 g cm⁻³
Energy of formation from the pure elements: -1030 meV per atom

Cell lengths 8.107, 8.107, 4.685 Å; angles 90.00, 90.00, 109.44 degrees
Sites, in units of the cell vectors:
1 La 0.000 0.000 0.000
2 La 0.000 0.500 0.500
3 La 0.500 0.000 0.500
4 Nd 0.500 0.500 0.000
5 Bi 0.251 0.749 0.000
6 Bi 0.253 0.253 0.500
7 Bi 0.747 0.747 0.500
8 Bi 0.749 0.251 0.000

=====

VASP calculation (PBE) on a relaxed NbPb3O crystal.

## Properties
Total DFT energy (no corrections): -0.366 Ry/atom
Crystal system: cubic
Density: 10.476 g cm⁻³
Energy relative to the lowest polymorph listed for this composition: 0.00 eV/f.u.

Cell lengths 4.874, 4.874, 4.874 Å; angles 90.00, 90.00, 90.00 degrees
Sites, in units of the cell vectors:
1 Nb 0.000 0.000 0.000
2 Pb 0.000 0.500 0.500
3 Pb 0.500 0.000 0.500
4 Pb 0.500 0.500 0.000
5 O 0.500 0.500 0.500

=====

VASP calculation (PBE) on a relaxed KZnO2F crystal.

## Properties
Total DFT energy (no corrections): -0.189 Ry/atom
Crystal system: tetragonal
Density: 2.565 g cm⁻³

Cell lengths 4.639, 4.639, 4.678 Å; angles 90.00, 90.00, 90.00 degrees
Sites, in units of the cell vectors:
1 K 0.000 0.000 0.000
2 Zn 0.500 0.500 0.500
3 O 0.000 0.500 0.000
4 O 0.500 0.000 0.000
5 F 0.000 0.000 0.500

=====

VASP calculation (PBE) on a relaxed Mg2Zn4Se crystal.

## Properties
Total DFT energy (no corrections): -0.140 Ry/atom
Crystal system: trigonal
Density: 4.754 g cm⁻³
Energy relative to the lowest polymorph listed for this composition: 0.00 eV/f.u.

Cell lengths 9.761, 9.761, 9.761 Å; angles 24.07, 24.07, 24.07 degrees
Sites, in units of the cell vectors:
1 Mg 0.221 0.221 0.221
2 Mg 0.779 0.779 0.779
3 Zn 0.049 0.049 0.049
4 Zn 0.347 0.347 0.347
5 Zn 0.653 0.653 0.653
6 Zn 0.951 0.951 0.951
7 Se 0.500 0.500 0.500

=====

VASP calculation (PBE) on a relaxed Sr2ReHg crystal.

## Properties
Total DFT energy (no corrections): -0.239 Ry/atom
Crystal system: orthorhombic
Density: 8.683 g cm⁻³
Energy of formation from the pure elements: 782 meV per atom

Cell lengths 3.134, 5.229, 6.560 Å; angles 90.00, 90.00, 90.00 degrees
Sites, in units of the cell vectors:
1 Sr 0.000 0.000 0.000
2 Sr 0.500 0.500 0.360
3 Re 0.500 0.500 0.844
4 Hg 0.000 0.000 0.534

=====

VASP calculation (PBE) on a relaxed BaNiAg2Ge crystal.

## Properties
Total DFT energy (no corrections): -0.275 Ry/atom
Crystal system: tetragonal
Density: 6.775 g cm⁻³
Energy of formation from the pure elements: -139 meV per atom

Cell lengths 5.138, 5.138, 4.498 Å; angles 90.00, 90.00, 90.00 degrees
Sites, in units of the cell vectors:
1 Ba 0.000 0.000 0.000
2 Ni 0.500 0.500 0.500
3 Ag 0.000 0.500 0.500
4 Ag 0.500 0.000 0.500
5 Ge 0.500 0.500 0.000

=====

VASP calculation (PBE) on a relaxed Cs2SiRhS4 crystal.

## Properties
Total DFT energy (no corrections): -0.343 Ry/atom
Crystal system: orthorhombic
Density: 3.465 g cm⁻³

Cell lengths 13.814, 12.638, 7.183 Å; angles 83.52, 65.37, 31.11 degrees
Sites, in units of the cell vectors:
1 Cs 0.053 0.053 0.697
2 Cs 0.303 0.303 0.947
3 Cs 0.697 0.697 0.053
4 Cs 0.947 0.947 0.303
5 Si 0.375 0.375 0.375
6 Si 0.625 0.625 0.625
7 Rh 0.125 0.125 0.125
8 Rh 0.875 0.875 0.875
9 S 0.022 0.626 0.579
10 S 0.274 0.579 0.626
11 S 0.374 0.978 0.726
12 S 0.421 0.726 0.978
13 S 0.579 0.274 0.022
14 S 0.626 0.022 0.274
15 S 0.726 0.421 0.374
16 S 0.978 0.374 0.421